No. 1
First-principles (GGA-PBE) data for TbPr4Ga2 after structural relaxation, as listed in the Alexandria database.

Lattice parameters (Å, degrees): 10.6393 10.6393 10.6393 27.78 27.78 27.78
Closest atoms and distances in Å follow each position.
Fractional positions:
Tb: 0.0000 0.0000 0.0000  2 Ga 3.01
Pr: 0.2019 0.2019 0.2019  4 Ga 3.12-3.18
Pr: 0.3950 0.3950 0.3950  3 Ga 3.15, 3 Tb 3.50
Pr: 0.6050 0.6050 0.6050  3 Ga 3.15, 3 Tb 3.50
Pr: 0.7981 0.7981 0.7981  4 Ga 3.12-3.18
Ga: 0.0981 0.0981 0.0981  1 Tb 3.01, 7 Pr 3.12-3.18
Ga: 0.9019 0.9019 0.9019  1 Tb 3.01, 7 Pr 3.12-3.18

Energy of formation from the pure elements: -0.6 eV/f.u.
Calculated volume: 230.95 Å³ per cell

No. 2
First-principles (GGA-PBE) data for HfTa2Tl2Se6 after structural relaxation, as listed in the Alexandria database.

Lattice parameters (Å, degrees): 6.3691 6.3691 8.4454 95.50 95.50 119.86
Closest atoms and distances in Å follow each position.
Fractional positions:
Hf: 0.0000 0.0000 0.0000  6 Se 2.68-2.73
Ta: 0.3688 0.6312 0.0000  6 Se 2.58-2.81
Ta: 0.6312 0.3688 0.0000  6 Se 2.58-2.81
Tl: 0.1787 0.8213 0.5000  6 Se 3.28-3.36, 2 Tl 3.56
Tl: 0.8213 0.1787 0.5000  6 Se 3.28-3.36, 2 Tl 3.56
Se: 0.0412 0.3946 0.1788  2 Ta 2.61-2.81, 1 Hf 2.68
Se: 0.2656 0.2656 0.7821  2 Ta 2.58, 1 Hf 2.73
Se: 0.3946 0.0412 0.1788  2 Ta 2.61-2.81, 1 Hf 2.68
Se: 0.6054 0.9588 0.8212  2 Ta 2.61-2.81, 1 Hf 2.68
Se: 0.7344 0.7344 0.2179  2 Ta 2.58, 1 Hf 2.73
Se: 0.9588 0.6054 0.8212  2 Ta 2.61-2.81, 1 Hf 2.68

VASP energy: -67.8 eV/cell
Calculated volume: 291.61 Å³ per cell

No. 3
First-principles (GGA-PBE) data for AgOsRu after structural relaxation, as listed in the Alexandria database.

Lattice parameters (Å, degrees): 4.2257 4.2257 4.2257 60.00 60.00 60.00
Closest atoms and distances in Å follow each position.
Fractional positions:
Ag: 0.0000 0.0000 0.0000  4 Ru 2.59
Os: 0.5000 0.5000 0.5000  4 Ru 2.59
Ru: 0.2500 0.2500 0.2500  4 Os 2.59, 4 Ag 2.59

Energy of formation from the pure elements: 3.1 eV/f.u.
Distance to the lowest polymorph of the same formula: 690.2 meV per atom
Calculated volume: 53.36 Å³ per cell

No. 4
First-principles (GGA-PBE) data for AgHgI2 after structural relaxation, as listed in the Alexandria database.

Lattice parameters (Å, degrees): 4.6840 4.6840 7.2753 95.31 95.31 74.64
Closest atoms and distances in Å follow each position.
Fractional positions:
Ag: 0.0000 0.0000 0.0000  4 I 2.83-3.08
Hg: 0.3760 0.3760 0.5743  2 I 2.85
I: 0.3789 0.3789 0.0941  3 Ag 2.83-3.08
I: 0.8718 0.8718 0.6026  2 Hg 2.85, 1 Ag 2.94

Distance to the lowest polymorph of the same formula: 84.5 meV per atom
Calculated volume: 152.87 Å³ per cell

No. 5
First-principles (GGA-PBE) data for LaErRhAu after structural relaxation, as listed in the Alexandria database.

Lattice parameters (Å, degrees): 5.0847 5.0847 5.0847 60.00 60.00 60.00
Closest atoms and distances in Å follow each position.
Fractional positions:
La: 0.0000 0.0000 0.0000  4 Rh 3.11, 4 Au 3.11
Er: 0.5000 0.5000 0.5000  4 Au 3.11, 4 Rh 3.11
Rh: 0.2500 0.2500 0.2500  4 Er 3.11, 4 La 3.11
Au: 0.7500 0.7500 0.7500  4 Er 3.11, 4 La 3.11

Energy of formation from the pure elements: -3.0 eV/f.u.
Calculated volume: 92.96 Å³ per cell

No. 6
First-principles (GGA-PBE) data for Y2InGa3Cu4 after structural relaxation, as listed in the Alexandria database.

Lattice parameters (Å, degrees): 4.1793 4.1793 10.3525 90.00 90.00 90.00
Closest atoms and distances in Å follow each position.
Fractional positions:
Y: 0.0000 0.5000 0.2348  6 Ga 3.17-3.45, 8 Cu 3.20-3.21, 2 In 3.45
Y: 0.5000 0.0000 0.7652  6 Ga 3.17-3.45, 8 Cu 3.20-3.21, 2 In 3.45
In: 0.0000 0.0000 0.5000  4 Cu 2.59
Ga: 0.0000 0.5000 0.8758  5 Cu 2.36-2.45
Ga: 0.5000 0.0000 0.1242  5 Cu 2.36-2.45
Ga: 0.5000 0.5000 0.5000  4 Cu 2.59
Cu: 0.0000 0.0000 0.0000  4 Ga 2.45
Cu: 0.0000 0.5000 0.6477  3 Ga 2.36-2.59, 2 In 2.59
Cu: 0.5000 0.0000 0.3523  3 Ga 2.36-2.59, 2 In 2.59
Cu: 0.5000 0.5000 0.0000  4 Ga 2.45

Energy of formation from the pure elements: -3.9 eV/f.u.
Calculated volume: 180.82 Å³ per cell

No. 7
First-principles (GGA-PBE) data for Pu3Ni2As4 after structural relaxation, as listed in the Alexandria database.

Lattice parameters (Å, degrees): 5.7533 5.7533 8.1178 102.70 102.70 43.05
Closest atoms and distances in Å follow each position.
Fractional positions:
Pu: 0.0000 0.0000 0.0000  8 As 3.05-3.26, 4 Ni 3.16
Pu: 0.3444 0.3444 0.3274  4 Ni 2.93-3.24, 8 As 3.02-3.20
Pu: 0.6556 0.6556 0.6726  4 Ni 2.93-3.24, 8 As 3.02-3.20
Ni: 0.3910 0.3910 0.7125  3 As 2.29-2.32
Ni: 0.6090 0.6090 0.2875  3 As 2.29-2.32
As: 0.0757 0.0757 0.3862  2 Ni 2.32
As: 0.2875 0.2875 0.9294  1 Ni 2.29
As: 0.7125 0.7125 0.0706  1 Ni 2.29
As: 0.9243 0.9243 0.6138  2 Ni 2.32

Energy of formation from the pure elements: -6.0 eV/f.u.
Distance to the lowest polymorph of the same formula: 0.0 meV per atom
Calculated volume: 178.24 Å³ per cell

No. 8
First-principles (GGA-PBE) data for LiZn2P after structural relaxation, as listed in the Alexandria database.

Lattice parameters (Å, degrees): 5.8118 5.8118 2.5794 102.34 102.34 127.44
Closest atoms and distances in Å follow each position.
Fractional positions:
Li: 0.0000 0.0000 0.0000  4 P 2.57-2.62, 2 Li 2.58
Zn: 0.0000 0.5000 0.0000  6 Zn 2.57-2.62
Zn: 0.5000 0.0000 0.0000  6 Zn 2.57-2.62
P: 0.5000 0.5000 0.0000  4 Li 2.57-2.62, 2 P 2.58

Energy of formation from the pure elements: -0.5 eV/f.u.
Calculated volume: 60.59 Å³ per cell

No. 9
First-principles (GGA-PBE) data for Dy3Tm5Sb8 after structural relaxation, as listed in the Alexandria database.

Lattice parameters (Å, degrees): 8.7093 8.7093 8.7093 60.01 60.01 60.01
Closest atoms and distances in Å follow each position.
Fractional positions:
Dy: 0.0000 0.5000 0.5000  6 Sb 3.09
Dy: 0.5000 0.0000 0.5000  6 Sb 3.09
Dy: 0.5000 0.5000 0.0000  6 Sb 3.09
Tm: 0.0000 0.0000 0.0000  6 Sb 3.08
Tm: 0.0000 0.0000 0.5000  6 Sb 3.07
Tm: 0.0000 0.5000 0.0000  6 Sb 3.07
Tm: 0.5000 0.0000 0.0000  6 Sb 3.07
Tm: 0.5000 0.5000 0.5000  6 Sb 3.08
Sb: 0.2477 0.7500 0.7500  4 Tm 3.07-3.08, 2 Dy 3.09
Sb: 0.2489 0.2489 0.2489  3 Tm 3.07, 3 Dy 3.09
Sb: 0.2500 0.2500 0.7523  4 Tm 3.07-3.08, 2 Dy 3.09
Sb: 0.2500 0.7523 0.2500  4 Tm 3.07-3.08, 2 Dy 3.09
Sb: 0.7500 0.2477 0.7500  4 Tm 3.07-3.08, 2 Dy 3.09
Sb: 0.7500 0.7500 0.2477  4 Tm 3.07-3.08, 2 Dy 3.09
Sb: 0.7511 0.7511 0.7511  3 Tm 3.07, 3 Dy 3.09
Sb: 0.7523 0.2500 0.2500  4 Tm 3.07-3.08, 2 Dy 3.09

VASP energy: -86.6 eV/cell
Calculated volume: 467.19 Å³ per cell

No. 10
First-principles (GGA-PBE) data for GdTh2Pa after structural relaxation, as listed in the Alexandria database.

Lattice parameters (Å, degrees): 3.4785 3.4785 9.9570 90.00 90.00 90.00
Closest atoms and distances in Å follow each position.
Fractional positions:
Gd: 0.0000 0.0000 0.0000  4 Gd 3.48, 8 Th 3.58
Th: 0.5000 0.5000 0.2610  4 Pa 3.42, 4 Th 3.48, 4 Gd 3.58
Th: 0.5000 0.5000 0.7390  4 Pa 3.42, 4 Th 3.48, 4 Gd 3.58
Pa: 0.0000 0.0000 0.5000  8 Th 3.42, 4 Pa 3.48

Energy of formation from the pure elements: 0.3 eV/f.u.
Distance to the lowest polymorph of the same formula: 0.0 meV per atom
Calculated volume: 120.48 Å³ per cell

No. 11
First-principles (GGA-PBE) data for CrIr2Rh2 after structural relaxation, as listed in the Alexandria database.

Lattice parameters (Å, degrees): 5.2489 5.2489 5.2489 127.31 127.31 77.74
Closest atoms and distances in Å follow each position.
Fractional positions:
Cr: 0.0000 0.0000 0.0000  2 Rh 2.88, 8 Ir 3.10
Ir: 0.2500 0.7500 0.5000  4 Rh 2.48
Ir: 0.7500 0.2500 0.5000  4 Rh 2.48
Rh: 0.3525 0.3525 0.0000  1 Rh 2.41, 4 Ir 2.48
Rh: 0.6475 0.6475 0.0000  1 Rh 2.41, 4 Ir 2.48

Energy of formation from the pure elements: 4.1 eV/f.u.
Distance to the lowest polymorph of the same formula: 907.3 meV per atom
Calculated volume: 88.69 Å³ per cell

No. 12
First-principles (GGA-PBE) data for PmTm2Ru after structural relaxation, as listed in the Alexandria database.

Lattice parameters (Å, degrees): 3.4099 3.4099 8.8953 90.00 90.00 90.00
Closest atoms and distances in Å follow each position.
Fractional positions:
Pm: 0.0000 0.0000 0.0000  4 Pm 3.41, 8 Tm 3.73
Tm: 0.5000 0.5000 0.3193  4 Ru 2.90, 1 Tm 3.21
Tm: 0.5000 0.5000 0.6807  4 Ru 2.90, 1 Tm 3.21
Ru: 0.0000 0.0000 0.5000  8 Tm 2.90

Energy of formation from the pure elements: -1.1 eV/f.u.
Distance to the lowest polymorph of the same formula: 32.6 meV per atom
Calculated volume: 103.43 Å³ per cell

No. 13
First-principles (GGA-PBE) data for Er3Hg2Pd8 after structural relaxation, as listed in the Alexandria database.

Lattice parameters (Å, degrees): 10.6639 10.6639 10.6639 29.24 29.24 29.24
Closest atoms and distances in Å follow each position.
Fractional positions:
Er: 0.0000 0.0000 0.0000  6 Hg 3.25, 12 Pd 3.54-3.59
Er: 0.1886 0.1886 0.1886  10 Pd 2.73-2.97
Er: 0.8114 0.8114 0.8114  10 Pd 2.73-2.97
Hg: 0.3642 0.3642 0.3642  4 Pd 2.65-2.78
Hg: 0.6358 0.6358 0.6358  4 Pd 2.65-2.78
Pd: 0.2249 0.7288 0.7288  4 Pd 2.67-2.71, 1 Hg 2.78, 3 Er 2.94-2.97
Pd: 0.2712 0.2712 0.7751  4 Pd 2.67-2.71, 1 Hg 2.78, 3 Er 2.94-2.97
Pd: 0.2712 0.7751 0.2712  4 Pd 2.67-2.71, 1 Hg 2.78, 3 Er 2.94-2.97
Pd: 0.2777 0.2777 0.2777  1 Hg 2.65, 1 Er 2.73
Pd: 0.7223 0.7223 0.7223  1 Hg 2.65, 1 Er 2.73
Pd: 0.7288 0.2249 0.7288  4 Pd 2.67-2.71, 1 Hg 2.78, 3 Er 2.94-2.97
Pd: 0.7288 0.7288 0.2249  4 Pd 2.67-2.71, 1 Hg 2.78, 3 Er 2.94-2.97
Pd: 0.7751 0.2712 0.2712  4 Pd 2.67-2.71, 1 Hg 2.78, 3 Er 2.94-2.97

Energy of formation from the pure elements: -6.6 eV/f.u.
Calculated volume: 256.03 Å³ per cell

No. 14
First-principles (GGA-PBE) data for Tb7Tl2Os2 after structural relaxation, as listed in the Alexandria database.

Lattice parameters (Å, degrees): 6.8535 6.8535 7.1477 90.00 90.00 105.92
Closest atoms and distances in Å follow each position.
Fractional positions:
Tb: 0.0000 0.0000 0.0000  2 Os 3.18
Tb: 0.0000 0.5000 0.2462  2 Os 2.75
Tb: 0.0000 0.5000 0.7538  2 Os 2.75
Tb: 0.5000 0.0000 0.2462  2 Os 2.75
Tb: 0.5000 0.0000 0.7538  2 Os 2.75
Tb: 0.5000 0.5000 0.2383  2 Os 2.85
Tb: 0.5000 0.5000 0.7617  2 Os 2.85
Tl: 0.1810 0.1810 0.5000  1 Tl 2.99, 6 Tb 3.23-3.33
Tl: 0.8190 0.8190 0.5000  1 Tl 2.99, 6 Tb 3.23-3.33
Os: 0.2908 0.7092 0.0000  6 Tb 2.75-2.85
Os: 0.7092 0.2908 0.0000  6 Tb 2.75-2.85

Energy of formation from the pure elements: -1.9 eV/f.u.
Calculated volume: 322.86 Å³ per cell

No. 15
First-principles (GGA-PBE) data for YGaSi after structural relaxation, as listed in the Alexandria database.

Lattice parameters (Å, degrees): 4.1242 4.1242 4.0496 90.00 90.00 120.00
Closest atoms and distances in Å follow each position.
Fractional positions:
Y: 0.0000 0.0000 0.0000  6 Ga 3.03-3.23, 6 Si 3.04-3.22
Ga: 0.3333 0.6667 0.5384  3 Si 2.40
Si: 0.6667 0.3333 0.4660  3 Ga 2.40

VASP energy: -16.8 eV/cell
Calculated volume: 59.65 Å³ per cell

No. 16
First-principles (GGA-PBE) data for LiHf2SeS after structural relaxation, as listed in the Alexandria database.

Lattice parameters (Å, degrees): 5.0120 5.0120 4.1670 90.00 90.00 90.00
Closest atoms and distances in Å follow each position.
Fractional positions:
Li: 0.0000 0.0000 0.0000  2 Se 2.08
Hf: 0.0000 0.5000 0.5000  2 Se 2.51
Hf: 0.5000 0.0000 0.5000  2 Se 2.51
Se: 0.0000 0.0000 0.5000  2 Li 2.08
S: 0.5000 0.5000 0.0000  8 Hf 3.26, 4 Li 3.54

VASP energy: -29.0 eV/cell
Calculated volume: 104.68 Å³ per cell

No. 17
First-principles (GGA-PBE) data for LaCePt2 after structural relaxation, as listed in the Alexandria database.

Lattice parameters (Å, degrees): 7.2739 7.2739 7.2739 33.50 33.50 33.50
Closest atoms and distances in Å follow each position.
Fractional positions:
La: 0.0000 0.0000 0.0000  6 Pt 3.02
Ce: 0.5000 0.5000 0.5000  6 Pt 2.91
Pt: 0.2456 0.2456 0.2456  3 Ce 2.91, 3 La 3.02
Pt: 0.7544 0.7544 0.7544  3 Ce 2.91, 3 La 3.02

Energy of formation from the pure elements: -4.4 eV/f.u.
Distance to the lowest polymorph of the same formula: 32.9 meV per atom
Calculated volume: 104.40 Å³ per cell

No. 18
First-principles (GGA-PBE) data for LiPtCO2 after structural relaxation, as listed in the Alexandria database.

Lattice parameters (Å, degrees): 3.1364 3.1364 6.8181 90.00 90.00 90.00
Closest atoms and distances in Å follow each position.
Fractional positions:
Li: 0.0000 0.0000 0.0000  4 O 1.57
Pt: 0.0000 0.0000 0.5000  4 C 2.22
C: 0.5000 0.5000 0.5000  4 Pt 2.22
O: 0.0000 0.5000 0.0000  2 Li 1.57
O: 0.5000 0.0000 0.0000  2 Li 1.57

VASP energy: -21.4 eV/cell
Calculated volume: 67.07 Å³ per cell

No. 19
First-principles (GGA-PBE) data for AlCrRhCl2 after structural relaxation, as listed in the Alexandria database.

Lattice parameters (Å, degrees): 4.5692 4.5692 5.0166 90.00 90.00 90.00
Closest atoms and distances in Å follow each position.
Fractional positions:
Al: 0.0000 0.0000 0.0000  4 Rh 3.23, 8 Cl 3.39
Cr: 0.5000 0.5000 0.5000  4 Cl 2.28, 2 Rh 2.51
Rh: 0.5000 0.5000 0.0000  2 Cr 2.51
Cl: 0.0000 0.5000 0.5000  2 Cr 2.28
Cl: 0.5000 0.0000 0.5000  2 Cr 2.28

VASP energy: -23.2 eV/cell
Calculated volume: 104.73 Å³ per cell

No. 20
First-principles (GGA-PBE) data for Er4TlHg2Pd after structural relaxation, as listed in the Alexandria database.

Lattice parameters (Å, degrees): 8.9321 8.9321 8.9321 33.70 33.70 33.70
Closest atoms and distances in Å follow each position.
Fractional positions:
Er: 0.1178 0.1178 0.1178  1 Pd 2.97, 4 Hg 3.09-3.25, 3 Tl 3.23
Er: 0.3697 0.3697 0.3697  4 Hg 3.11-3.25, 3 Pd 3.13, 1 Tl 3.29
Er: 0.6303 0.6303 0.6303  4 Hg 3.11-3.25, 3 Pd 3.13, 1 Tl 3.29
Er: 0.8822 0.8822 0.8822  1 Pd 2.97, 4 Hg 3.09-3.25, 3 Tl 3.23
Tl: 0.5000 0.5000 0.5000  8 Er 3.23-3.29, 6 Hg 3.61
Hg: 0.2465 0.2465 0.2465  8 Er 3.09-3.25
Hg: 0.7535 0.7535 0.7535  8 Er 3.09-3.25
Pd: 0.0000 0.0000 0.0000  8 Er 2.97-3.13

Energy of formation from the pure elements: -4.3 eV/f.u.
Calculated volume: 195.41 Å³ per cell